## VGeH2 (PBE)

Data for an optimized crystal structure of VGeH2.

The structure belongs to space group Fm-3m (No. 225); the cell edges are 5.293, 5.293 and 5.293 Å and the angles 90.00°, 90.00° and 90.00°. Symmetry generates all atoms from V at (0.000, 0.000, 0.000), Ge at (0.000, 0.000, 0.500) and H at (0.250, 0.250, 0.250).

As for the energy above the most stable polymorph in this dataset: 0.461 eV/atom. The density of states at the Fermi level comes out at 0.69 states/eV/atom. The total magnetic moment comes out at 1.94 μB per formula unit.